Run i
The following is a PBE calculation of VRe2Mo after structural relaxation, from the Alexandria database.

abc: 3.079 3.079 6.224
angles: 90.00 90.00 90.00
Space group P4/mmm (No. 123)
Symmetry-distinct sites (fractional):
V  0.000  0.000  0.000 (multiplicity 1)
Re  0.500  0.500  0.239 (multiplicity 2)
Mo  0.000  0.000  0.500 (multiplicity 1)

***

Run ii
The following is a PBE calculation of VRe2Mo after structural relaxation, from the Alexandria database.

abc: 6.191 6.191 6.191
angles: 90.00 90.00 90.00
Space group Fm-3m (No. 225)
Symmetry-distinct sites (fractional):
V  0.000  0.000  0.000 (multiplicity 4)
Re  0.250  0.250  0.250 (multiplicity 8)
Mo  0.000  0.000  0.500 (multiplicity 4)

***

Run iii
The following is a PBE calculation of VRe2Mo after structural relaxation, from the Alexandria database.

abc: 7.028 7.028 5.199
angles: 90.00 90.00 90.00
Space group I-42d (No. 122)
Symmetry-distinct sites (fractional):
V  0.000  0.000  0.000 (multiplicity 4)
Re  0.244  0.250  0.125 (multiplicity 8)
Mo  0.000  0.000  0.500 (multiplicity 4)

***

Which of them is the least stable? Correct choice: run iii.

***

Run i
The following is a PBE calculation of ReMo2W after structural relaxation, from the Alexandria database.

abc: 2.8023 2.8023 28.0662
angles: 90.00 90.00 120.00
Space group R3m (No. 160, hexagonal axes)
Symmetry-distinct sites (fractional):
Re  0.0000  0.0000  0.0000 (multiplicity 3)
Mo  0.0000  0.0000  0.2538 (multiplicity 3)
Mo  0.0000  0.0000  0.5011 (multiplicity 3)
W  0.0000  0.0000  0.7479 (multiplicity 3)

***

Run ii
The following is a PBE calculation of ReMo2W after structural relaxation, from the Alexandria database.

abc: 4.464 4.464 3.157
angles: 90.00 90.00 90.00
Space group P4/mmm (No. 123)
Symmetry-distinct sites (fractional):
Re  0.000  0.000  0.000 (multiplicity 1)
Mo  0.000  0.500  0.500 (multiplicity 2)
W  0.500  0.500  0.000 (multiplicity 1)

***

Run iii
The following is a PBE calculation of ReMo2W after structural relaxation, from the Alexandria database.

abc: 8.933 8.928 3.154
angles: 90.00 90.00 90.00
Space group Cmcm (No. 63)
Symmetry-distinct sites (fractional):
Re  0.000  0.129  0.250 (multiplicity 4)
Mo  0.250  0.122  0.750 (multiplicity 8)
W  0.000  0.373  0.750 (multiplicity 4)

***

Which of them is the least stable? Correct choice: run i.

***

Run i
The following is a PBE calculation of ReMo2W after structural relaxation, from the Alexandria database.

abc: 7.210 7.210 5.251
angles: 90.00 90.00 90.00
Space group I-42d (No. 122)
Symmetry-distinct sites (fractional):
Re  0.000  0.000  0.000 (multiplicity 4)
Mo  0.241  0.250  0.125 (multiplicity 8)
W  0.000  0.000  0.500 (multiplicity 4)

***

Run ii
The following is a PBE calculation of ReMo2W after structural relaxation, from the Alexandria database.

abc: 2.783 4.112 5.550
angles: 90.00 90.00 90.00
Space group Pmmm (No. 47)
Symmetry-distinct sites (fractional):
Re  0.000  0.000  0.000 (multiplicity 1)
Mo  0.500  0.500  0.245 (multiplicity 2)
W  0.000  0.000  0.500 (multiplicity 1)

***

Which of them is the least stable? Correct choice: run i.

***

Run i
The following is a PBE calculation of ReMo2W after structural relaxation, from the Alexandria database.

abc: 3.900 3.900 4.180
angles: 90.00 90.00 90.00
Space group P4/mmm (No. 123)
Symmetry-distinct sites (fractional):
Re  0.000  0.000  0.000 (multiplicity 1)
Mo  0.000  0.500  0.500 (multiplicity 2)
W  0.500  0.500  0.000 (multiplicity 1)

***

Run ii
The following is a PBE calculation of ReMo2W after structural relaxation, from the Alexandria database.

abc: 3.154 4.448 8.960
angles: 90.00 90.00 90.00
Space group Immm (No. 71)
Symmetry-distinct sites (fractional):
Re  0.000  0.000  0.000 (multiplicity 2)
Mo  0.000  0.500  0.247 (multiplicity 4)
W  0.000  0.000  0.500 (multiplicity 2)

***

Run iii
The following is a PBE calculation of ReMo2W after structural relaxation, from the Alexandria database.

abc: 2.767 2.767 8.321
angles: 90.00 90.00 90.00
Space group P4/mmm (No. 123)
Symmetry-distinct sites (fractional):
Re  0.000  0.000  0.000 (multiplicity 1)
Mo  0.500  0.500  0.236 (multiplicity 2)
W  0.000  0.000  0.500 (multiplicity 1)

***

Which of them is the least stable? Correct choice: run i.

***

Run i
The following is a PBE calculation of ReMo2W3 after structural relaxation, from the Alexandria database.

abc: 10.003 9.484 4.491
angles: 90.00 116.55 90.00
Space group C2/c (No. 15)
Symmetry-distinct sites (fractional):
Re  0.000  0.085  0.250 (multiplicity 4)
Mo  0.000  0.249  0.750 (multiplicity 4)
Mo  0.000  0.417  0.250 (multiplicity 4)
W  0.248  0.083  0.998 (multiplicity 8)
W  0.250  0.250  0.500 (multiplicity 4)

***

Run ii
The following is a PBE calculation of ReMo2W3 after structural relaxation, from the Alexandria database.

abc: 14.300 5.057 5.464
angles: 90.00 90.00 90.00
Space group Cmcm (No. 63)
Symmetry-distinct sites (fractional):
Re  0.000  0.193  0.250 (multiplicity 4)
Mo  0.159  0.500  0.000 (multiplicity 8)
W  0.000  0.318  0.750 (multiplicity 4)
W  0.173  0.005  0.750 (multiplicity 8)

***

Which of them is the least stable? Correct choice: run ii.